Entry 1:
Compound: Sm4YSb5
Source: Alexandria
Functional: PBE-GGA
Structure: optimized geometry

Calculated values
The calculation puts the raw formation energy at -1133 kJ/mol of formula units. The calculation puts the calculated total energy at -5.77 eV per atom.

Cell lengths 16.059, 16.059, 16.059 Å; angles 164.05, 164.05, 22.63 degrees
Fractional positions:
Sm (0.100, 0.100, 0.000)
Sm (0.300, 0.300, 0.000)
Sm (0.700, 0.700, 0.000)
Sm (0.900, 0.900, 0.000)
Y (0.500, 0.500, 0.000)
Sb (0.000, 0.000, 0.000)
Sb (0.200, 0.200, 0.000)
Sb (0.401, 0.401, 0.000)
Sb (0.599, 0.599, 0.000)
Sb (0.800, 0.800, 0.000)

Entry 2:
Compound: Tl3MoRh
Source: Alexandria
Functional: PBE-GGA
Structure: optimized geometry

Calculated values
The value obtained for the energy relative to the lowest polymorph listed for this composition is 0 meV/atom. The formation energy is 449 kJ/mol of formula units. The calculation puts the calculated total energy at -4.13 eV per atom.

Cell lengths 5.248, 5.248, 5.248 Å; angles 90.00, 90.00, 90.00 degrees
Fractional positions:
Tl (0.000, 0.000, 0.500)
Tl (0.000, 0.500, 0.000)
Tl (0.500, 0.000, 0.000)
Mo (0.500, 0.500, 0.500)
Rh (0.000, 0.000, 0.000)

Entry 3:
Compound: Pa2CoTe6
Source: Alexandria
Functional: PBE-GGA
Structure: optimized geometry

Calculated values
The calculation puts the raw formation energy at -361 kJ/mol of formula units. The calculation puts the calculated total energy at -5.41 eV per atom.

Cell lengths 6.946, 6.946, 12.594 Å; angles 90.00, 90.00, 90.00 degrees
Fractional positions:
Pa (0.000, 0.000, 0.171)
Pa (0.000, 0.000, 0.829)
Pa (0.500, 0.500, 0.329)
Pa (0.500, 0.500, 0.671)
Co (0.000, 0.000, 0.500)
Co (0.500, 0.500, 0.000)
Te (0.194, 0.194, 0.354)
Te (0.194, 0.194, 0.646)
Te (0.212, 0.212, 0.000)
Te (0.288, 0.712, 0.500)
Te (0.306, 0.694, 0.146)
Te (0.306, 0.694, 0.854)
Te (0.694, 0.306, 0.146)
Te (0.694, 0.306, 0.854)
Te (0.712, 0.288, 0.500)
Te (0.788, 0.788, 0.000)
Te (0.806, 0.806, 0.354)
Te (0.806, 0.806, 0.646)

Entry 4:
Compound: Dy3Pa
Source: Alexandria
Functional: PBE-GGA
Structure: optimized geometry

Calculated values
The value obtained for the energy relative to the lowest polymorph listed for this composition is 0 meV/atom. The formation energy is 72 kJ/mol of formula units. The calculation puts the calculated total energy at -5.64 eV per atom.

Cell lengths 3.442, 11.358, 6.045 Å; angles 90.00, 90.00, 90.00 degrees
Fractional positions:
Dy (0.000, 0.000, 0.000)
Dy (0.000, 0.244, 0.338)
Dy (0.000, 0.756, 0.338)
Dy (0.500, 0.256, 0.838)
Dy (0.500, 0.500, 0.500)
Dy (0.500, 0.744, 0.838)
Pa (0.000, 0.500, 0.995)
Pa (0.500, 0.000, 0.495)

Entry 5:
Compound: Mg2Cd2Ni
Source: Alexandria
Functional: PBE-GGA
Structure: optimized geometry

Calculated values
The value obtained for the energy relative to the lowest polymorph listed for this composition is 259 meV/atom. The formation energy is 78 kJ/mol of formula units. The calculation puts the calculated total energy at -2.00 eV per atom.

Cell lengths 6.619, 6.619, 4.603 Å; angles 90.00, 90.00, 90.00 degrees
Fractional positions:
Mg (0.156, 0.344, 0.000)
Mg (0.344, 0.844, 0.000)
Mg (0.656, 0.156, 0.000)
Mg (0.844, 0.656, 0.000)
Cd (0.163, 0.663, 0.500)
Cd (0.337, 0.163, 0.500)
Cd (0.663, 0.837, 0.500)
Cd (0.837, 0.337, 0.500)
Ni (0.000, 0.000, 0.000)
Ni (0.500, 0.500, 0.000)

Entry 6:
Compound: TaZnI2N
Source: Alexandria
Functional: PBE-GGA
Structure: optimized geometry

Calculated values
The value obtained for the energy relative to the lowest polymorph listed for this composition is 0 meV/atom. The calculation puts the raw formation energy at 59 kJ/mol of formula units. The calculation puts the calculated total energy at -4.79 eV per atom.

Cell lengths 5.733, 5.733, 3.930 Å; angles 90.00, 90.00, 90.00 degrees
Fractional positions:
Ta (0.000, 0.000, 0.000)
Zn (0.500, 0.500, 0.500)
I (0.000, 0.500, 0.000)
I (0.500, 0.000, 0.000)
N (0.000, 0.000, 0.500)

Entry 7:
Compound: LiMn2CoAg
Source: Alexandria
Functional: PBE-GGA
Structure: optimized geometry

Calculated values
The formation energy is 665 kJ/mol of formula units. The calculation puts the calculated total energy at -4.66 eV per atom.

Cell lengths 3.967, 3.967, 3.976 Å; angles 90.00, 90.00, 90.00 degrees
Fractional positions:
Li (0.000, 0.000, 0.000)
Mn (0.000, 0.500, 0.000)
Mn (0.500, 0.000, 0.000)
Co (0.000, 0.000, 0.500)
Ag (0.500, 0.500, 0.500)

Entry 8:
Compound: Dy3InS6
Source: Alexandria
Functional: PBE-GGA
Structure: optimized geometry

Calculated values
The value obtained for the energy relative to the lowest polymorph listed for this composition is 0 meV/atom. The calculation puts the raw formation energy at -1633 kJ/mol of formula units. The calculation puts the calculated total energy at -5.82 eV per atom.

Cell lengths 8.586, 8.586, 6.610 Å; angles 90.00, 90.00, 102.73 degrees
Fractional positions:
Dy (0.096, 0.904, 0.500)
Dy (0.215, 0.412, 0.589)
Dy (0.412, 0.215, 0.089)
Dy (0.588, 0.785, 0.589)
Dy (0.785, 0.588, 0.089)
Dy (0.904, 0.096, 0.000)
In (0.299, 0.701, 0.114)
In (0.701, 0.299, 0.614)
S (0.055, 0.599, 0.320)
S (0.132, 0.193, 0.293)
S (0.193, 0.132, 0.793)
S (0.280, 0.720, 0.745)
S (0.401, 0.945, 0.320)
S (0.467, 0.533, 0.284)
S (0.533, 0.467, 0.784)
S (0.599, 0.055, 0.820)
S (0.720, 0.280, 0.245)
S (0.807, 0.868, 0.293)
S (0.868, 0.807, 0.793)
S (0.945, 0.401, 0.820)

Entry 9:
Compound: Sm3GeBiBr
Source: Alexandria
Functional: PBE-GGA
Structure: optimized geometry

Calculated values
The calculation puts the raw formation energy at -566 kJ/mol of formula units. The calculation puts the calculated total energy at -5.03 eV per atom.

Cell lengths 7.530, 4.311, 11.446 Å; angles 90.00, 101.89, 90.00 degrees
Fractional positions:
Sm (0.039, 0.250, 0.142)
Sm (0.285, 0.250, 0.498)
Sm (0.452, 0.750, 0.850)
Sm (0.548, 0.250, 0.150)
Sm (0.715, 0.750, 0.502)
Sm (0.961, 0.750, 0.858)
Ge (0.234, 0.250, 0.939)
Ge (0.766, 0.750, 0.061)
Bi (0.344, 0.750, 0.303)
Bi (0.656, 0.250, 0.697)
Br (0.123, 0.750, 0.630)
Br (0.877, 0.250, 0.370)

Entry 10:
Compound: Ga4SnSb2Te
Source: Alexandria
Functional: PBE-GGA
Structure: optimized geometry

Calculated values
The calculation puts the raw formation energy at -122 kJ/mol of formula units. The calculation puts the calculated total energy at -3.60 eV per atom.

Cell lengths 6.243, 6.243, 12.555 Å; angles 90.00, 90.00, 90.00 degrees
Fractional positions:
Ga (0.241, 0.241, 0.127)
Ga (0.241, 0.759, 0.873)
Ga (0.259, 0.259, 0.627)
Ga (0.259, 0.741, 0.373)
Ga (0.741, 0.259, 0.373)
Ga (0.741, 0.741, 0.627)
Ga (0.759, 0.241, 0.873)
Ga (0.759, 0.759, 0.127)
Sn (0.000, 0.000, 0.000)
Sn (0.500, 0.500, 0.500)
Sb (0.000, 0.500, 0.250)
Sb (0.000, 0.500, 0.750)
Sb (0.500, 0.000, 0.250)
Sb (0.500, 0.000, 0.750)
Te (0.000, 0.000, 0.500)
Te (0.500, 0.500, 0.000)

Entry 11:
Compound: Tm4Si2N
Source: Alexandria
Functional: PBE-GGA
Structure: optimized geometry

Calculated values
The value obtained for the energy relative to the lowest polymorph listed for this composition is 0 meV/atom. The calculation puts the raw formation energy at -619 kJ/mol of formula units. The calculation puts the calculated total energy at -6.21 eV per atom.

Cell lengths 4.488, 4.488, 14.953 Å; angles 90.00, 90.00, 90.00 degrees
Fractional positions:
Tm (0.000, 0.000, 0.170)
Tm (0.000, 0.000, 0.830)
Tm (0.000, 0.500, 0.000)
Tm (0.000, 0.500, 0.500)
Tm (0.500, 0.000, 0.000)
Tm (0.500, 0.000, 0.500)
Tm (0.500, 0.500, 0.330)
Tm (0.500, 0.500, 0.670)
Si (0.000, 0.000, 0.363)
Si (0.000, 0.000, 0.637)
Si (0.500, 0.500, 0.137)
Si (0.500, 0.500, 0.863)
N (0.000, 0.000, 0.000)
N (0.500, 0.500, 0.500)

Entry 12:
Compound: TcN2O2
Source: Alexandria
Functional: PBE-GGA
Structure: optimized geometry

Calculated values
The value obtained for the energy relative to the lowest polymorph listed for this composition is 0 meV/atom. The calculation puts the raw formation energy at 386 kJ/mol of formula units. The calculation puts the calculated total energy at -6.59 eV per atom.

Cell lengths 3.808, 3.808, 3.956 Å; angles 90.00, 90.00, 90.00 degrees
Fractional positions:
Tc (0.000, 0.000, 0.000)
N (0.000, 0.000, 0.500)
N (0.500, 0.500, 0.500)
O (0.000, 0.500, 0.000)
O (0.500, 0.000, 0.000)